# 1
Here is a relaxed structure of BaCaAlAg from Alexandria via LeMat-Bulk. Energies are from GGA-PBE.

Values from the calculation:
The space group is F-43m, No. 216.

Cell and atoms, written as CIF:
```
data_BaCaAlAg
_symmetry_space_group_name_H-M 'P 1'
_symmetry_Int_Tables_number 1
_cell_length_a 5.586
_cell_length_b 5.586
_cell_length_c 5.586
_cell_angle_alpha 60.00
_cell_angle_beta 60.00
_cell_angle_gamma 60.00
loop_
_symmetry_equiv_pos_as_xyz
'x,y,z'
loop_
_atom_site_label
_atom_site_fract_x
_atom_site_fract_y
_atom_site_fract_z
Ba1 0.000 0.000 0.000
Ca1 0.500 0.500 0.500
Al1 0.750 0.750 0.750
Ag1 0.250 0.250 0.250
```

# 2
Here is a relaxed structure of Li2PmGe2 from Alexandria via LeMat-Bulk. Energies are from GGA-PBE.

Values from the calculation:
The space group is I4/mmm, No. 139.

Cell and atoms, written as CIF:
```
data_Li2PmGe2
_symmetry_space_group_name_H-M 'P 1'
_symmetry_Int_Tables_number 1
_cell_length_a 10.417
_cell_length_b 10.417
_cell_length_c 10.417
_cell_angle_alpha 161.50
_cell_angle_beta 161.50
_cell_angle_gamma 26.27
loop_
_symmetry_equiv_pos_as_xyz
'x,y,z'
loop_
_atom_site_label
_atom_site_fract_x
_atom_site_fract_y
_atom_site_fract_z
Li1 0.250 0.750 0.500
Li2 0.750 0.250 0.500
Pm1 0.000 0.000 0.000
Ge1 0.145 0.145 0.000
Ge2 0.855 0.855 0.000
```

What are the density of states at the Fermi level values for these records? In order: 3.61; 4.27 states/eV/cell.
What are the total moment values for these records? In order: 0.0; 0.0 μB/f.u..
What are the DFT total energy values for these records? In order: -11.000; -16.743 eV for the cell shown.